Record 1
Compound: Y2MgCo2
Source: Alexandria via LeMat-Bulk
Functional: GGA-PBE
Structure: optimized geometry

Cell lengths 3.377, 3.377, 9.966 Å; angles 80.25, 80.25, 90.00 degrees
Site moments in Bohr magnetons follow the coordinates.
Atoms (fractional coordinates):
Y 0.370 0.370 0.261  -0.07
Y 0.630 0.630 0.739  -0.07
Co 0.250 0.750 0.500  1.41
Co 0.750 0.250 0.500  1.41
Mg 0.000 0.000 0.000  0.00

* SG: I4/mmm, No. 139
* mass density: 4.8 g/cm3
* energy relative to the elements: 0.0904 eV per atom
* V: 110.33 Å³ per cell
* total energy: -0.4157 Ry per atom

Record 2
Compound: YMgCo2
Source: Alexandria via LeMat-Bulk
Functional: GGA-PBE
Structure: optimized geometry

Cell lengths 6.583, 6.583, 6.583 Å; angles 34.11, 34.11, 34.11 degrees
Site moments in Bohr magnetons follow the coordinates.
Atoms (fractional coordinates):
Co 0.956 0.956 0.956  0.72
Co 0.288 0.288 0.288  0.73
Y 0.721 0.721 0.721  -0.13
Mg 0.535 0.535 0.535  -0.01

* SG: R3m, No. 160
* mass density: 4.8 g/cm3
* energy relative to the elements: -0.0326 eV per atom
* V: 79.95 Å³ per cell
* total energy: -0.4116 Ry per atom

Record 3
Compound: Y2MgCo
Source: Alexandria via LeMat-Bulk
Functional: GGA-PBE
Structure: optimized geometry

Cell lengths 3.771, 3.771, 8.773 Å; angles 77.59, 77.59, 60.05 degrees
Atoms (fractional coordinates):
Y 0.977 0.977 0.069
Y 0.523 0.523 0.431
Mg 0.750 0.750 0.750
Co 0.250 0.250 0.250

* SG: R-3m, No. 166
* mass density: 4.1 g/cm3
* energy relative to the elements: -0.0074 eV per atom
* V: 104.71 Å³ per cell
* total energy: -0.3980 Ry per atom

Record 4
Compound: YMgCo
Source: Alexandria via LeMat-Bulk
Functional: GGA-PBE
Structure: optimized geometry

Cell lengths 4.531, 4.531, 4.531 Å; angles 60.00, 60.00, 60.00 degrees
Atoms (fractional coordinates):
Y 0.500 0.500 0.500
Mg 0.000 0.000 0.000
Co 0.750 0.750 0.750

* SG: F-43m, No. 216
* mass density: 4.3 g/cm3
* energy relative to the elements: 0.0799 eV per atom
* V: 65.80 Å³ per cell
* total energy: -0.3657 Ry per atom

Record 5
Compound: YMgCo
Source: Alexandria via LeMat-Bulk
Functional: GGA-PBE
Structure: optimized geometry

Cell lengths 4.437, 4.437, 3.589 Å; angles 90.00, 90.00, 120.00 degrees
Site moments in Bohr magnetons follow the coordinates.
Atoms (fractional coordinates):
Mg 0.667 0.333 0.167  -0.01
Y 0.333 0.667 0.667  -0.09
Co 0.000 0.000 0.166  0.48

* SG: P-6m2, No. 187
* mass density: 4.7 g/cm3
* energy relative to the elements: 0.0928 eV per atom
* V: 61.19 Å³ per cell
* total energy: -0.3647 Ry per atom

Record 6
Compound: Y2MgCo
Source: Alexandria via LeMat-Bulk
Functional: GGA-PBE
Structure: optimized geometry

Cell lengths 4.952, 4.952, 4.952 Å; angles 60.00, 60.00, 60.00 degrees
Atoms (fractional coordinates):
Mg 0.750 0.750 0.750
Co 0.500 0.500 0.500
Y 0.250 0.250 0.250
Y 0.000 0.000 0.000

* SG: F-43m, No. 216
* mass density: 5.0 g/cm3
* energy relative to the elements: 0.2180 eV per atom
* V: 85.88 Å³ per cell
* total energy: -0.3814 Ry per atom

Record 7
Compound: Y2MgCo
Source: Alexandria via LeMat-Bulk
Functional: GGA-PBE
Structure: optimized geometry

Cell lengths 3.809, 3.809, 8.702 Å; angles 77.36, 77.36, 60.00 degrees
Atoms (fractional coordinates):
Y 0.060 0.060 0.821
Y 0.274 0.274 0.179
Co 0.666 0.666 0.002
Mg 0.501 0.501 0.498

* SG: R3m, No. 160
* mass density: 4.1 g/cm3
* energy relative to the elements: -0.0002 eV per atom
* V: 105.81 Å³ per cell
* total energy: -0.3974 Ry per atom

Record 8
Compound: YMg6Co
Source: Alexandria via LeMat-Bulk
Functional: GGA-PBE
Structure: optimized geometry

Cell lengths 6.557, 6.557, 4.863 Å; angles 90.00, 90.00, 123.29 degrees
Site moments in Bohr magnetons follow the coordinates.
Atoms (fractional coordinates):
Mg 0.813 0.681 0.500  0.00
Mg 0.319 0.187 0.500  0.00
Mg 0.658 0.342 0.000  0.00
Mg 0.671 0.820 0.000  -0.01
Mg 0.818 0.182 0.500  0.00
Mg 0.180 0.329 0.000  -0.01
Co 0.344 0.656 0.500  1.19
Y 0.197 0.803 0.000  -0.10

* SG: Amm2, No. 38
* mass density: 2.8 g/cm3
* energy relative to the elements: 0.1031 eV per atom
* V: 174.78 Å³ per cell
* total energy: -0.2050 Ry per atom

Record 9
Compound: Y12MgCo5
Source: Alexandria via LeMat-Bulk
Functional: GGA-PBE
Structure: optimized geometry

Cell lengths 8.359, 8.359, 8.359 Å; angles 107.32, 110.68, 110.43 degrees
Atoms (fractional coordinates):
Co 0.500 0.111 0.611
Co 0.381 0.381 0.000
Co 0.619 0.619 0.000
Co 0.000 0.000 0.000
Co 0.500 0.889 0.389
Y 0.807 0.601 0.794
Y 0.807 0.012 0.206
Y 0.476 0.184 0.292
Y 0.524 0.816 0.708
Y 0.306 0.314 0.620
Y 0.892 0.184 0.708
Y 0.193 0.399 0.206
Y 0.108 0.816 0.292
Y 0.694 0.686 0.380
Y 0.694 0.314 0.007
Y 0.193 0.988 0.794
Y 0.306 0.686 0.993
Mg 0.000 0.500 0.500

* SG: Immm, No. 71
* mass density: 5.1 g/cm3
* energy relative to the elements: -0.1622 eV per atom
* V: 449.08 Å³ per cell
* total energy: -0.4802 Ry per atom

Record 10
Compound: Y2MgCo
Source: Alexandria via LeMat-Bulk
Functional: GGA-PBE
Structure: optimized geometry

Cell lengths 4.419, 3.861, 5.914 Å; angles 70.88, 90.00, 90.00 degrees
Atoms (fractional coordinates):
Y 0.000 0.984 0.906
Y 0.500 0.269 0.337
Co 0.000 0.687 0.501
Mg 0.500 0.559 0.755

* SG: Pm, No. 6
* mass density: 4.5 g/cm3
* energy relative to the elements: 0.0513 eV per atom
* V: 95.34 Å³ per cell
* total energy: -0.3936 Ry per atom

Record 11
Compound: Y3Mg3Co
Source: Alexandria via LeMat-Bulk
Functional: GGA-PBE
Structure: optimized geometry

Cell lengths 10.035, 10.035, 10.035 Å; angles 60.00, 60.00, 60.00 degrees
Atoms (fractional coordinates):
Mg 0.125 0.625 0.625
Mg 0.420 0.740 0.420
Mg 0.740 0.420 0.420
Mg 0.830 0.830 0.510
Mg 0.625 0.625 0.125
Mg 0.510 0.830 0.830
Mg 0.625 0.125 0.625
Mg 0.420 0.420 0.740
Mg 0.420 0.420 0.420
Mg 0.830 0.830 0.830
Mg 0.830 0.510 0.830
Mg 0.625 0.625 0.625
Y 0.055 0.055 0.445
Y 0.805 0.195 0.195
Y 0.445 0.055 0.055
Y 0.445 0.055 0.445
Y 0.055 0.445 0.055
Y 0.805 0.195 0.805
Y 0.195 0.195 0.805
Y 0.445 0.445 0.055
Y 0.055 0.445 0.445
Y 0.195 0.805 0.195
Y 0.805 0.805 0.195
Y 0.195 0.805 0.805
Co 0.125 0.125 0.125
Co 0.125 0.625 0.125
Co 0.125 0.125 0.625
Co 0.625 0.125 0.125

* SG: Fd-3m, No. 227
* mass density: 3.7 g/cm3
* energy relative to the elements: -0.1260 eV per atom
* V: 714.56 Å³ per cell
* total energy: -0.3377 Ry per atom

Record 12
Compound: YMgCo
Source: Alexandria via LeMat-Bulk
Functional: GGA-PBE
Structure: optimized geometry

Cell lengths 3.653, 5.338, 7.245 Å; angles 100.35, 104.54, 90.01 degrees
Site moments in Bohr magnetons follow the coordinates.
Atoms (fractional coordinates):
Y 0.586 0.793 0.172  -0.08
Y 0.414 0.207 0.828  -0.08
Mg 0.832 0.656 0.664  -0.01
Mg 0.168 0.344 0.336  -0.01
Co 0.230 0.881 0.460  0.56
Co 0.770 0.119 0.540  0.56

* SG: P-1, No. 2
* mass density: 4.3 g/cm3
* energy relative to the elements: -0.0237 eV per atom
* V: 134.39 Å³ per cell
* total energy: -0.3733 Ry per atom

Record 13
Compound: Y7Mg2Co2
Source: Alexandria via LeMat-Bulk
Functional: GGA-PBE
Structure: optimized geometry

Cell lengths 3.577, 9.998, 9.998 Å; angles 58.20, 79.70, 79.70 degrees
Atoms (fractional coordinates):
Y 0.500 0.028 0.972
Y 0.181 0.721 0.916
Y 0.819 0.084 0.279
Y 0.352 0.739 0.558
Y 0.151 0.103 0.596
Y 0.648 0.442 0.261
Y 0.849 0.404 0.897
Mg 0.500 0.382 0.618
Mg 0.000 0.737 0.263
Co 0.264 0.343 0.129
Co 0.736 0.871 0.657

* SG: Imm2, No. 44
* mass density: 4.4 g/cm3
* energy relative to the elements: -0.0859 eV per atom
* V: 297.41 Å³ per cell
* total energy: -0.4249 Ry per atom

Record 14
Compound: YMg6Co
Source: Alexandria via LeMat-Bulk
Functional: GGA-PBE
Structure: optimized geometry

Cell lengths 6.736, 6.736, 4.938 Å; angles 90.00, 90.00, 128.23 degrees
Site moments in Bohr magnetons follow the coordinates.
Atoms (fractional coordinates):
Mg 0.810 0.685 0.500  0.00
Mg 0.663 0.822 0.000  -0.01
Mg 0.207 0.793 0.000  -0.01
Mg 0.178 0.337 0.000  -0.01
Mg 0.315 0.190 0.500  0.00
Mg 0.653 0.347 0.000  0.00
Co 0.363 0.637 0.500  0.90
Y 0.812 0.188 0.500  -0.06

* SG: Amm2, No. 38
* mass density: 2.8 g/cm3
* energy relative to the elements: 0.1031 eV per atom
* V: 175.98 Å³ per cell
* total energy: -0.2050 Ry per atom

Record 15
Compound: Y2Mg3Co2
Source: Alexandria via LeMat-Bulk
Functional: GGA-PBE
Structure: optimized geometry

Cell lengths 4.139, 5.508, 7.013 Å; angles 98.51, 90.00, 112.07 degrees
Site moments in Bohr magnetons follow the coordinates.
Atoms (fractional coordinates):
Mg 0.682 0.364 0.854  0.00
Mg 0.318 0.636 0.146  0.00
Mg 0.000 0.000 0.000  0.00
Co 0.075 0.149 0.635  0.43
Co 0.925 0.851 0.365  0.43
Y 0.372 0.745 0.632  -0.06
Y 0.628 0.255 0.368  -0.06

* excess energy over the best structure of this formula in the dataset: 0.11 eV/f.u.
* SG: C2/m, No. 12
* mass density: 4.2 g/cm3
* energy relative to the elements: -0.1298 eV per atom
* V: 146.30 Å³ per cell
* total energy: -0.3447 Ry per atom

Record 16
Compound: Y4Mg5Co2
Source: Alexandria via LeMat-Bulk
Functional: GGA-PBE
Structure: optimized geometry

Cell lengths 3.594, 7.869, 9.510 Å; angles 94.40, 90.00, 90.00 degrees
Atoms (fractional coordinates):
Co 0.000 0.930 0.364
Co 0.000 0.070 0.636
Y 0.500 0.831 0.165
Y 0.500 0.201 0.445
Y 0.500 0.169 0.835
Y 0.500 0.799 0.555
Mg 0.000 0.452 0.668
Mg 0.000 0.826 0.852
Mg 0.000 0.548 0.332
Mg 0.000 0.174 0.148
Mg 0.000 0.500 0.000

* SG: P2/m, No. 10
* mass density: 3.7 g/cm3
* energy relative to the elements: -0.1165 eV per atom
* V: 268.13 Å³ per cell
* total energy: -0.3296 Ry per atom

Record 17
Compound: Y2MgCo
Source: Alexandria via LeMat-Bulk
Functional: GGA-PBE
Structure: optimized geometry

Cell lengths 4.991, 4.991, 3.647 Å; angles 90.01, 90.01, 90.02 degrees
Site moments in Bohr magnetons follow the coordinates.
Atoms (fractional coordinates):
Co 0.500 0.000 0.500  0.94
Mg 0.000 0.500 0.500  0.00
Y 0.500 0.500 0.000  -0.13
Y 0.000 0.000 0.000  -0.13

* SG: P4/mmm, No. 123
* mass density: 4.8 g/cm3
* energy relative to the elements: 0.0103 eV per atom
* V: 90.85 Å³ per cell
* total energy: -0.3967 Ry per atom

Record 18
Compound: YMgCo2
Source: Alexandria via LeMat-Bulk
Functional: GGA-PBE
Structure: optimized geometry

Cell lengths 5.502, 5.502, 5.502 Å; angles 145.69, 132.06, 60.27 degrees
Site moments in Bohr magnetons follow the coordinates.
Atoms (fractional coordinates):
Co 0.964 0.964 0.000  1.29
Co 0.779 0.279 0.500  1.08
Mg 0.520 0.520 0.000  -0.01
Y 0.237 0.737 0.500  -0.19

* SG: Imm2, No. 44
* mass density: 5.6 g/cm3
* energy relative to the elements: 0.0768 eV per atom
* V: 69.06 Å³ per cell
* total energy: -0.4036 Ry per atom

Record 19
Compound: YMgCo2
Source: Alexandria via LeMat-Bulk
Functional: GGA-PBE
Structure: optimized geometry

Cell lengths 7.048, 7.048, 5.744 Å; angles 52.16, 52.16, 90.00 degrees
Site moments in Bohr magnetons follow the coordinates.
Atoms (fractional coordinates):
Y 0.000 0.000 0.000  -0.18
Y 0.750 0.250 0.500  -0.18
Co 0.875 0.859 0.750  0.78
Co 0.375 0.391 0.750  0.77
Co 0.141 0.625 0.250  0.79
Co 0.609 0.125 0.250  0.79
Mg 0.250 0.750 0.500  -0.02
Mg 0.500 0.500 0.000  -0.02

* SG: I-42d, No. 122
* mass density: 5.4 g/cm3
* energy relative to the elements: 0.4713 eV per atom
* V: 141.92 Å³ per cell
* total energy: -0.3746 Ry per atom

Record 20
Compound: YMgCo2
Source: Alexandria via LeMat-Bulk
Functional: GGA-PBE
Structure: optimized geometry

Cell lengths 8.200, 8.200, 8.200 Å; angles 22.54, 22.54, 22.54 degrees
Site moments in Bohr magnetons follow the coordinates.
Atoms (fractional coordinates):
Co 0.503 0.503 0.503  1.12
Co 0.997 0.997 0.997  1.12
Mg 0.250 0.250 0.250  -0.01
Y 0.750 0.750 0.750  -0.17

* SG: R-3m, No. 166
* mass density: 5.4 g/cm3
* energy relative to the elements: 0.4089 eV per atom
* V: 71.08 Å³ per cell
* total energy: -0.3792 Ry per atom

Record 21
Compound: YMgCo2
Source: Alexandria via LeMat-Bulk
Functional: GGA-PBE
Structure: optimized geometry

Cell lengths 4.451, 4.451, 3.284 Å; angles 90.00, 90.00, 90.00 degrees
Atoms (fractional coordinates):
Co 0.000 0.000 0.000
Co 0.500 0.500 0.000
Mg 0.500 0.000 0.500
Y 0.000 0.500 0.500

* SG: P4/mmm, No. 123
* mass density: 5.9 g/cm3
* energy relative to the elements: 0.0755 eV per atom
* V: 65.07 Å³ per cell
* total energy: -0.4037 Ry per atom

Record 22
Compound: Y5MgCo2
Source: Alexandria via LeMat-Bulk
Functional: GGA-PBE
Structure: optimized geometry

Cell lengths 3.940, 7.202, 8.445 Å; angles 115.24, 103.49, 90.00 degrees
Atoms (fractional coordinates):
Y 0.000 0.500 0.000
Y 0.346 0.097 0.693
Y 0.654 0.903 0.307
Y 0.654 0.404 0.307
Y 0.346 0.596 0.693
Mg 0.000 0.000 0.000
Co 0.808 0.308 0.616
Co 0.192 0.692 0.384

* SG: Immm, No. 71
* mass density: 4.7 g/cm3
* energy relative to the elements: -0.0721 eV per atom
* V: 209.47 Å³ per cell
* total energy: -0.4475 Ry per atom

Record 23
Compound: Y6MgCo
Source: Alexandria via LeMat-Bulk
Functional: GGA-PBE
Structure: optimized geometry

Cell lengths 6.425, 7.170, 6.690 Å; angles 57.59, 77.85, 66.87 degrees
Atoms (fractional coordinates):
Y 0.256 0.889 0.610
Y 0.744 0.502 0.610
Y 0.708 0.729 0.000
Y 0.744 0.111 0.390
Y 0.292 0.271 0.000
Y 0.256 0.498 0.390
Mg 0.000 0.000 0.000
Co 0.500 0.500 0.000

* SG: C2/m, No. 12
* mass density: 4.3 g/cm3
* energy relative to the elements: 0.1045 eV per atom
* V: 239.28 Å³ per cell
* total energy: -0.4286 Ry per atom

Record 24
Compound: YMgCo
Source: Alexandria via LeMat-Bulk
Functional: GGA-PBE
Structure: optimized geometry

Cell lengths 3.692, 3.692, 5.740 Å; angles 90.00, 90.00, 120.00 degrees
Atoms (fractional coordinates):
Mg 0.667 0.333 0.253
Co 0.000 0.000 0.009
Y 0.333 0.667 0.738

* SG: P3m1, No. 156
* mass density: 4.2 g/cm3
* energy relative to the elements: 0.2004 eV per atom
* V: 67.76 Å³ per cell
* total energy: -0.3568 Ry per atom

Record 25
Compound: YMgCo2
Source: Alexandria via LeMat-Bulk
Functional: GGA-PBE
Structure: optimized geometry

Cell lengths 3.853, 4.031, 5.172 Å; angles 67.08, 90.00, 90.00 degrees
Site moments in Bohr magnetons follow the coordinates.
Atoms (fractional coordinates):
Co 0.500 0.070 0.235  0.79
Co 0.000 0.176 0.023  0.73
Y 0.500 0.773 0.829  -0.10
Mg 0.000 0.481 0.413  -0.01

* SG: Amm2, No. 38
* mass density: 5.2 g/cm3
* energy relative to the elements: -0.0376 eV per atom
* V: 73.98 Å³ per cell
* total energy: -0.4120 Ry per atom

Record 26
Compound: Y2MgCo
Source: Alexandria via LeMat-Bulk
Functional: GGA-PBE
Structure: optimized geometry

Cell lengths 5.797, 5.797, 5.797 Å; angles 136.57, 136.57, 63.10 degrees
Site moments in Bohr magnetons follow the coordinates.
Atoms (fractional coordinates):
Y 0.250 0.750 0.500  -0.09
Y 0.000 0.000 0.000  -0.10
Mg 0.750 0.250 0.500  0.00
Co 0.500 0.500 0.000  0.63

* SG: I-4m2, No. 119
* mass density: 4.8 g/cm3
* energy relative to the elements: 0.1913 eV per atom
* V: 90.91 Å³ per cell
* total energy: -0.3834 Ry per atom